Run one
DFT (PBE-GGA) results for crystalline KPtPb4 at its relaxed geometry.

Lattice parameters (Å, degrees): 6.4166 6.4166 6.4166 60.00 60.00 60.00
Last column: nearest neighbours and their distance in Å.
Fractional positions:
K 0.0000 0.0000 0.0000  12 Pb 3.76, 4 Pt 3.93
Pt 0.7500 0.7500 0.7500  12 Pb 3.76, 4 K 3.93
Pb 0.8722 0.3759 0.3759  6 Pb 3.18-3.23
Pb 0.3759 0.3759 0.8722  6 Pb 3.18-3.23
Pb 0.3759 0.8722 0.3759  6 Pb 3.18-3.23
Pb 0.3759 0.3759 0.3759  6 Pb 3.18-3.23

Results
Space group: F-43m
Size of the total moment (μB per formula unit): 0.00

=====

Run two
DFT (PBE-GGA) results for crystalline KPtPb4 at its relaxed geometry.

Lattice parameters (Å, degrees): 5.8203 8.5567 9.8316 115.70 107.24 90.22
Last column: nearest neighbours and their distance in Å.
Fractional positions:
K 0.8019 0.8024 0.6044  10 Pb 3.75-4.10
K 0.1981 0.1976 0.3956  10 Pb 3.75-4.10
Pt 0.2539 0.5000 0.0001  2 Pt 2.87-2.95, 8 Pb 2.90-2.93
Pt 0.7461 0.5000 0.9999  2 Pt 2.87-2.95, 8 Pb 2.90-2.93
Pb 0.1497 0.6500 0.2980  2 Pt 2.90
Pb 0.3966 0.1752 0.7969  2 Pt 2.93
Pb 0.9986 0.2066 0.0005  2 Pt 2.91
Pb 0.6017 0.3797 0.2041  2 Pt 2.93
Pb 0.8503 0.3500 0.7020  2 Pt 2.90
Pb 0.6034 0.8248 0.2031  2 Pt 2.93
Pb 0.0014 0.7934 0.9995  2 Pt 2.91
Pb 0.3983 0.6203 0.7959  2 Pt 2.93

Results
Space group: P-1
Size of the total moment (μB per formula unit): 0.00

=====

Which structure wins on stability? run two wins.

=====

Run one
DFT (PBE-GGA) results for crystalline K2Pt3Pb2 at its relaxed geometry.

Lattice parameters (Å, degrees): 4.6338 6.5433 7.5628 122.39 90.00 110.74
Last column: nearest neighbours and their distance in Å.
Fractional positions:
K 0.8344 0.6687 0.1989  5 Pt 3.31-3.46, 2 K 3.40, 3 Pb 3.49-3.57
K 0.1656 0.3313 0.8011  5 Pt 3.31-3.46, 2 K 3.40, 3 Pb 3.49-3.57
Pt 0.5000 0.0000 0.0000  2 Pt 2.75, 4 Pb 2.96
Pt 0.5694 0.1389 0.4155  2 Pt 2.65-2.75, 3 Pb 2.87-2.89
Pt 0.4306 0.8611 0.5845  2 Pt 2.65-2.75, 3 Pb 2.87-2.89
Pb 0.8538 0.7076 0.7179  5 Pt 2.87-2.96
Pb 0.1462 0.2924 0.2821  5 Pt 2.87-2.96

Results
Space group: C2/m
Size of the total moment (μB per formula unit): 0.00

=====

Run two
DFT (PBE-GGA) results for crystalline K2Pt3Pb2 at its relaxed geometry.

Lattice parameters (Å, degrees): 4.5285 6.6129 7.0365 92.38 108.77 90.00
Last column: nearest neighbours and their distance in Å.
Fractional positions:
K 0.1405 0.4003 0.2810  2 Pt 3.17
K 0.8595 0.5997 0.7190  2 Pt 3.17
Pt 0.0000 0.0000 0.0000  2 Pt 2.74, 4 Pb 2.86
Pt 0.2026 0.9433 0.4051  3 Pt 2.68-2.74, 2 Pb 2.80
Pt 0.7974 0.0567 0.5949  3 Pt 2.68-2.74, 2 Pb 2.80
Pb 0.4077 0.1786 0.8154  5 Pt 2.80-3.09
Pb 0.5923 0.8214 0.1846  5 Pt 2.80-3.09

Results
Space group: C2/m
Size of the total moment (μB per formula unit): 0.00

=====

Which structure wins on stability? run two wins.

=====

Run one
DFT (PBE-GGA) results for crystalline KSnPt2Pb at its relaxed geometry.

Lattice parameters (Å, degrees): 5.1949 5.7603 5.1949 90.00 90.00 90.00
Last column: nearest neighbours and their distance in Å.
Fractional positions:
Pb 0.0000 0.0000 0.0000  4 Pt 2.60, 2 K 2.88
K 0.0000 0.5000 0.0000  2 Pb 2.88
Sn 0.5000 0.5000 0.5000  4 K 3.67, 8 Pt 3.88
Pt 0.0000 0.0000 0.5000  2 Pb 2.60
Pt 0.5000 0.0000 0.0000  2 Pb 2.60

Results
Space group: P4/mmm
Size of the total moment (μB per formula unit): 0.00

=====

Run two
DFT (PBE-GGA) results for crystalline KSnPt2Pb at its relaxed geometry.

Lattice parameters (Å, degrees): 4.6292 7.7039 7.7257 95.09 90.00 90.00
Last column: nearest neighbours and their distance in Å.
Fractional positions:
K 0.2500 0.8661 0.1413  3 Pt 3.32-3.52, 3 Sn 3.52-3.69, 1 Pb 3.54
K 0.7500 0.1339 0.8587  3 Pt 3.32-3.52, 3 Sn 3.52-3.69, 1 Pb 3.54
Sn 0.2500 0.3850 0.1165  4 Pt 2.69-2.84
Sn 0.7500 0.6150 0.8835  4 Pt 2.69-2.84
Pt 0.7500 0.4151 0.5563  5 Pt 2.83-2.89, 1 Sn 2.84, 3 Pb 2.85-2.97
Pt 0.2500 0.5849 0.4437  5 Pt 2.83-2.89, 1 Sn 2.84, 3 Pb 2.85-2.97
Pt 0.7500 0.5388 0.2214  3 Sn 2.69-2.73, 3 Pt 2.84-2.89, 1 Pb 2.89
Pt 0.2500 0.4612 0.7786  3 Sn 2.69-2.73, 3 Pt 2.84-2.89, 1 Pb 2.89
Pb 0.2500 0.2053 0.4823  4 Pt 2.85-2.97
Pb 0.7500 0.7947 0.5177  4 Pt 2.85-2.97

Results
Space group: P2_1/m
Size of the total moment (μB per formula unit): 0.00

=====

Which structure wins on stability? run two wins.

=====

Run one
DFT (PBE-GGA) results for crystalline KRb2Pb at its relaxed geometry.

Lattice parameters (Å, degrees): 4.2115 4.2115 15.8078 82.34 82.34 60.00
Last column: nearest neighbours and their distance in Å.
Fractional positions:
Pb 0.0000 0.0000 0.0000  2 Rb 3.63
K 0.5000 0.5000 0.5000  6 K 4.21
Rb 0.0775 0.0775 0.7676  1 Pb 3.63
Rb 0.9225 0.9225 0.2324  1 Pb 3.63

Results
Space group: R-3m
Size of the total moment (μB per formula unit): 0.00

=====

Run two
DFT (PBE-GGA) results for crystalline KRb2Pb at its relaxed geometry.

Lattice parameters (Å, degrees): 7.4358 7.5520 9.2549 74.47 86.25 75.33
Last column: nearest neighbours and their distance in Å.
Fractional positions:
Pb 0.5408 0.6078 0.1022  1 Pb 3.14
Pb 0.6994 0.6867 0.3787  1 Pb 3.14
K 0.9995 0.7334 0.0328  3 Pb 3.74-3.95
K 0.8267 0.1718 0.3607  3 Pb 3.74-3.97
Rb 0.4470 0.9175 0.6949  2 Pb 3.87-3.94, 1 Rb 4.20
Rb 0.3765 0.1339 0.1222  3 Pb 3.89-4.02, 1 K 4.24
Rb 0.2285 0.5611 0.4668  3 Pb 3.84-3.96, 1 K 4.21
Rb 0.7926 0.3661 0.7939  2 Pb 3.92-3.95, 1 Rb 4.20

Results
Space group: P1
Size of the total moment (μB per formula unit): 0.02

=====

Run three
DFT (PBE-GGA) results for crystalline KRb2Pb at its relaxed geometry.

Lattice parameters (Å, degrees): 5.6882 8.7431 11.2758 94.21 104.50 108.95
Last column: nearest neighbours and their distance in Å.
Fractional positions:
Pb 0.3801 0.8250 0.9344  1 Pb 3.00
Pb 0.6199 0.1750 0.0656  1 Pb 3.00
K 0.9602 0.0798 0.8395  4 Pb 3.76-3.79, 1 K 3.95
K 0.0398 0.9202 0.1605  4 Pb 3.76-3.79, 1 K 3.95
Rb 0.8188 0.2158 0.4254  1 Pb 3.88
Rb 0.1812 0.7842 0.5746  1 Pb 3.88
Rb 0.3320 0.4945 0.1701  3 Pb 3.92-4.06
Rb 0.6680 0.5055 0.8299  3 Pb 3.92-4.06

Results
Space group: P-1
Size of the total moment (μB per formula unit): 0.00

=====

Run four
DFT (PBE-GGA) results for crystalline KRb2Pb at its relaxed geometry.

Lattice parameters (Å, degrees): 6.0390 5.8757 5.8757 90.00 90.00 90.00
Last column: nearest neighbours and their distance in Å.
Fractional positions:
Pb 0.5000 0.0000 0.0000  4 K 4.15, 8 Rb 4.21
K 0.5000 0.5000 0.5000  4 Pb 4.15, 8 Rb 4.21
Rb 0.0000 0.0000 0.5000  4 Rb 4.15, 4 Pb 4.21, 4 K 4.21
Rb 0.0000 0.5000 0.0000  4 Rb 4.15, 4 Pb 4.21, 4 K 4.21

Results
Space group: P4/mmm
Size of the total moment (μB per formula unit): 0.78

=====

Which structure wins on stability? run three wins.